First-principles (PBE) data for a relaxed structure of Na2ZrTa2Te6, as listed in Alexandria via LeMat-Bulk.

Results
**SG**: C2/m, No. 12
**Magnetization**: 0.000 μB per cell
**Raw formation energy**: -600 meV/atom

Cell: 6.834 6.834 8.252 Å, 95.76 95.76 120.73°
Positions (direct):
Te 0.598 0.961 0.304
Te 0.402 0.039 0.696
Te 0.735 0.735 0.750
Te 0.961 0.598 0.304
Te 0.265 0.265 0.250
Te 0.039 0.402 0.696
Na 0.180 0.820 0.000
Na 0.820 0.180 0.000
Zr 0.000 0.000 0.500
Ta 0.623 0.377 0.500
Ta 0.377 0.623 0.500

=====

First-principles (PBE) data for a relaxed structure of NaZrTaTe2, as listed in Alexandria via LeMat-Bulk.

Results
**SG**: P4/mmm, No. 123
**Magnetization**: 1.555 μB per cell
**Raw formation energy**: 1321 meV/atom

Cell: 5.198 4.869 5.198 Å, 90.00 90.00 90.00°
Positions (direct):
Ta 0.000 0.500 0.000
Na 0.000 0.000 0.000
Te 0.000 0.000 0.500
Te 0.500 0.000 0.000
Zr 0.500 0.500 0.500

=====

First-principles (PBE) data for a relaxed structure of Na2Ta2Ti, as listed in Alexandria via LeMat-Bulk.

Results
**SG**: P4/mbm, No. 127
**Energy above the most stable polymorph in this dataset**: 0.3559 eV per atom
**Magnetization**: 0.000 μB per cell
**Calculated formation energy**: 1306 meV/atom

Cell: 8.858 8.858 2.773 Å, 90.00 90.00 90.00°
Positions (direct):
Na 0.193 0.693 0.500
Na 0.807 0.307 0.500
Na 0.307 0.193 0.500
Na 0.693 0.807 0.500
Ta 0.898 0.602 0.000
Ta 0.398 0.898 0.000
Ta 0.102 0.398 0.000
Ta 0.602 0.102 0.000
Ti 0.000 0.000 0.000
Ti 0.500 0.500 0.000